FeTcS | GGA-PBE | optimized geometry

Computed properties:
N(E_F), states/eV/atom: 1.252
Space-group type: P4/nmm, No. 129
Total energy, eV/atom: -7.75

Unit cell a=3.149 b=3.149 c=9.414 alpha=90.00 beta=90.00 gamma=90.00
Atoms (fractional coordinates):
S1 0.500 0.000 0.325
S2 0.000 0.500 0.675
Tc1 0.500 0.000 0.072
Tc2 0.000 0.500 0.928
Fe1 0.000 0.500 0.234
Fe2 0.500 0.000 0.766